# GGA-PBE Dy12Er5Sc2, optimized geometry
data_Dy12Er5Sc2
_symmetry_space_group_name_H-M 'C 1 2/m 1'
_symmetry_Int_Tables_number 12
_symmetry_space_group_name_Hall '-C 2y'
_cell_length_a 15.390
_cell_length_b 9.072
_cell_length_c 8.463
_cell_angle_alpha 90.00
_cell_angle_beta 92.15
_cell_angle_gamma 90.00
loop_
_atom_site_label
_atom_site_fract_x
_atom_site_fract_y
_atom_site_fract_z
Dy1 0.057 0.000 0.337
Dy2 0.078 0.500 0.879
Dy3 0.129 0.195 0.679
Dy4 0.149 0.318 0.235
Er1 0.000 0.500 0.500
Er2 0.202 0.000 0.023
Er3 0.232 0.500 0.569
Sc1 0.000 0.168 0.000
# - V (Å³ per cell) = 1180.8
# - N(E_F) (states/eV/cell) = 60.93
# - energy of formation from the pure elements (eV per formula unit) = 2.33
# - VASP energy (eV per atom) = -4.651
# - excess energy over the best structure of this formula in the dataset (eV/atom) = 0.0000